## Ce2VSe2O2 (GGA+U)

Data for a relaxed Ce2VSe2O2 crystal.

```
Ce2VSe2O2
1.0
3.905 0.000 0.000
1.952 5.833 -0.041
1.952 2.153 5.989
O Ce Se V
2 2 2 1
Cartesian
3.905 5.930 5.437
3.905 2.056 0.511
1.952 2.673 1.536
5.857 5.313 4.412
3.905 5.363 1.837
3.905 2.623 4.111
0.000 0.000 0.000
```

Values from the calculation:
magnetization	5.01	μB per formula unit
total DFT energy (no corrections)	-7.4193	eV/atom